Compound: Zr3Zn3N
Source: the Alexandria database
Functional: SCAN
Structure: single point on PBEsol structure

Cell lengths 8.4816, 8.4816, 8.4816 Å; angles 60.00, 60.00, 60.00 degrees
Sites, in units of the cell vectors:
Zr 0.6875 0.6875 0.3125
Zn 0.9195 0.9195 0.2414
Zn 0.0086 0.3305 0.3305
Zn 0.6250 0.1250 0.1250
Zr 0.5625 0.9375 0.9375
Zn 0.3305 0.3305 0.3305
Zn 0.1250 0.1250 0.1250
Zr 0.5625 0.5625 0.9375
Zn 0.3305 0.0086 0.3305
Zr 0.6875 0.3125 0.3125
N 0.6250 0.6250 0.1250
Zn 0.1250 0.1250 0.6250
N 0.1250 0.6250 0.6250
Zr 0.3125 0.6875 0.6875
Zr 0.3125 0.3125 0.6875
Zr 0.3125 0.6875 0.3125
Zn 0.1250 0.6250 0.1250
N 0.6250 0.6250 0.6250
Zr 0.9375 0.5625 0.5625
Zn 0.3305 0.3305 0.0086
Zn 0.9195 0.2414 0.9195
Zr 0.9375 0.9375 0.5625
Zn 0.9195 0.9195 0.9195
Zr 0.9375 0.5625 0.9375
Zr 0.5625 0.9375 0.5625
Zr 0.6875 0.3125 0.6875
Zn 0.2414 0.9195 0.9195
N 0.6250 0.1250 0.6250

- space-group type = No. 227
- crystal system = cubic
- VASP energy (eV for the cell shown) = -592.81